Entry 1:
# LiAg2Hg

A PBEsol-optimized structure of LiAg2Hg (SCAN, Alexandria).

Lattice parameters (Å, degrees): 2.977 3.985 5.778 90.00 90.32 90.00
Element x y z (fractional)
1 Li 0.000 0.000 0.000
2 Ag 0.001 0.000 0.481
3 Ag 0.500 0.500 0.242
4 Hg 0.500 0.500 0.752

* ΔH_f (0 K): -168 meV per atom
* space group: Pm, No. 6
* ρ: 10.26 g/cm3
* total magnetization: 0.00 μB per formula unit

Entry 2:
# LiAgHg2

A PBEsol-optimized structure of LiAgHg2 (SCAN, Alexandria).

Lattice parameters (Å, degrees): 4.923 4.923 5.355 100.34 100.34 36.74
Element x y z (fractional)
1 Li 0.000 0.000 0.000
2 Ag 0.500 0.500 0.500
3 Hg 0.253 0.253 0.754
4 Hg 0.747 0.747 0.246

* ΔH_f (0 K): -162 meV per atom
* space group: C2/m, No. 12
* ρ: 11.24 g/cm3
* total magnetization: 0.00 μB per formula unit

Entry 3:
# LiAgHg2

A PBEsol-optimized structure of LiAgHg2 (SCAN, Alexandria).

Lattice parameters (Å, degrees): 2.996 4.751 5.172 90.00 90.00 90.00
Element x y z (fractional)
1 Li 0.000 0.000 0.000
2 Ag 0.000 0.500 0.675
3 Hg 0.500 0.000 0.507
4 Hg 0.500 0.500 0.157

* ΔH_f (0 K): -188 meV per atom
* space group: Pmm2, No. 25
* ρ: 11.64 g/cm3
* total magnetization: 0.00 μB per formula unit

Entry 4:
# Li2Ag2Hg

A PBEsol-optimized structure of Li2Ag2Hg (SCAN, Alexandria).

Lattice parameters (Å, degrees): 7.374 7.374 3.098 90.00 90.00 90.00
Element x y z (fractional)
1 Li 0.166 0.334 0.000
2 Li 0.334 0.834 0.000
3 Li 0.666 0.166 0.000
4 Li 0.834 0.666 0.000
5 Ag 0.132 0.632 0.500
6 Ag 0.368 0.132 0.500
7 Ag 0.632 0.868 0.500
8 Ag 0.868 0.368 0.500
9 Hg 0.000 0.000 0.500
10 Hg 0.500 0.500 0.500

* ΔH_f (0 K): -183 meV per atom
* space group: P4/mbm, No. 127
* ρ: 8.48 g/cm3
* total magnetization: 0.00 μB per formula unit

Entry 5:
# LiAg2Hg

A PBEsol-optimized structure of LiAg2Hg (SCAN, Alexandria).

Lattice parameters (Å, degrees): 4.992 4.992 4.910 100.97 100.97 35.11
Element x y z (fractional)
1 Li 0.000 0.000 0.000
2 Ag 0.498 0.498 0.491
3 Ag 0.750 0.750 0.249
4 Hg 0.250 0.250 0.754

* ΔH_f (0 K): -132 meV per atom
* space group: Cm, No. 8
* ρ: 10.19 g/cm3
* total magnetization: 0.00 μB per formula unit

Entry 6:
# LiAg2Hg

A PBEsol-optimized structure of LiAg2Hg (SCAN, Alexandria).

Lattice parameters (Å, degrees): 4.938 4.938 4.938 130.61 130.61 72.44
Element x y z (fractional)
1 Li 0.000 0.000 0.000
2 Ag 0.250 0.750 0.500
3 Ag 0.500 0.500 0.000
4 Hg 0.750 0.250 0.500

* ΔH_f (0 K): -189 meV per atom
* space group: I-4m2, No. 119
* ρ: 10.36 g/cm3
* total magnetization: 0.00 μB per formula unit

Entry 7:
# LiAgHg2

A PBEsol-optimized structure of LiAgHg2 (SCAN, Alexandria).

Lattice parameters (Å, degrees): 4.707 4.707 4.707 60.00 60.00 60.00
Element x y z (fractional)
1 Li 0.000 0.000 0.000
2 Ag 0.750 0.750 0.750
3 Hg 0.250 0.250 0.250
4 Hg 0.500 0.500 0.500

* ΔH_f (0 K): -172 meV per atom
* space group: F-43m, No. 216
* ρ: 11.62 g/cm3
* total magnetization: 0.00 μB per formula unit

Entry 8:
# LiAg2Hg

A PBEsol-optimized structure of LiAg2Hg (SCAN, Alexandria).

Lattice parameters (Å, degrees): 5.014 5.014 5.014 132.19 132.19 69.92
Element x y z (fractional)
1 Li 0.000 0.000 0.000
2 Ag 0.250 0.750 0.500
3 Ag 0.750 0.250 0.500
4 Hg 0.500 0.500 0.000

* ΔH_f (0 K): -182 meV per atom
* space group: I4/mmm, No. 139
* ρ: 10.36 g/cm3
* total magnetization: 0.00 μB per formula unit

Entry 9:
# LiAg2Hg

A PBEsol-optimized structure of LiAg2Hg (SCAN, Alexandria).

Lattice parameters (Å, degrees): 2.933 4.072 5.763 90.00 90.00 90.00
Element x y z (fractional)
1 Li 0.000 0.000 0.000
2 Ag 0.500 0.500 0.239
3 Ag 0.500 0.500 0.761
4 Hg 0.000 0.000 0.500

* ΔH_f (0 K): -120 meV per atom
* space group: Pmmm, No. 47
* ρ: 10.21 g/cm3
* total magnetization: 0.00 μB per formula unit

Entry 10:
# LiAgHg2

A PBEsol-optimized structure of LiAgHg2 (SCAN, Alexandria).

Lattice parameters (Å, degrees): 3.286 3.441 6.392 90.00 90.00 90.00
Element x y z (fractional)
1 Li 0.000 0.000 0.000
2 Ag 0.000 0.000 0.500
3 Hg 0.500 0.500 0.238
4 Hg 0.500 0.500 0.762

* ΔH_f (0 K): -230 meV per atom
* space group: Pmmm, No. 47
* ρ: 11.86 g/cm3
* total magnetization: 0.00 μB per formula unit

Entry 11:
# LiAgHg2

A PBEsol-optimized structure of LiAgHg2 (SCAN, Alexandria).

Lattice parameters (Å, degrees): 9.284 9.284 9.284 19.22 19.22 19.22
Element x y z (fractional)
1 Li 0.000 0.000 0.000
2 Ag 0.500 0.500 0.500
3 Hg 0.253 0.253 0.253
4 Hg 0.747 0.747 0.747

* ΔH_f (0 K): -157 meV per atom
* space group: R-3m, No. 166
* ρ: 11.31 g/cm3
* total magnetization: 0.00 μB per formula unit

Entry 12:
# LiAg2Hg

A PBEsol-optimized structure of LiAg2Hg (SCAN, Alexandria).

Lattice parameters (Å, degrees): 5.564 5.564 2.923 103.67 103.67 119.45
Element x y z (fractional)
1 Li 0.000 0.000 0.000
2 Ag 0.000 0.500 0.500
3 Ag 0.500 0.000 0.500
4 Hg 0.500 0.500 0.000

* ΔH_f (0 K): -116 meV per atom
* space group: C2/m, No. 12
* ρ: 10.10 g/cm3
* total magnetization: 0.00 μB per formula unit

Entry 13:
# LiAg2Hg

A PBEsol-optimized structure of LiAg2Hg (SCAN, Alexandria).

Lattice parameters (Å, degrees): 3.276 3.276 6.334 90.00 90.00 90.00
Element x y z (fractional)
1 Li 0.000 0.000 0.000
2 Ag 0.500 0.500 0.224
3 Ag 0.500 0.500 0.776
4 Hg 0.000 0.000 0.500

* ΔH_f (0 K): -97 meV per atom
* space group: P4/mmm, No. 123
* ρ: 10.34 g/cm3
* total magnetization: 0.00 μB per formula unit

Entry 14:
# LiAgHg2

A PBEsol-optimized structure of LiAgHg2 (SCAN, Alexandria).

Lattice parameters (Å, degrees): 5.148 5.148 4.167 113.68 113.68 47.70
Element x y z (fractional)
1 Li 0.000 0.000 0.000
2 Ag 0.250 0.250 0.750
3 Hg 0.500 0.500 0.501
4 Hg 0.750 0.750 0.250

* ΔH_f (0 K): -197 meV per atom
* space group: Cm, No. 8
* ρ: 11.68 g/cm3
* total magnetization: 0.00 μB per formula unit

Entry 15:
# LiAg3Hg

A PBEsol-optimized structure of LiAg3Hg (SCAN, Alexandria).

Lattice parameters (Å, degrees): 4.474 4.474 4.474 90.00 90.00 90.00
Element x y z (fractional)
1 Li 0.000 0.000 0.000
2 Ag 0.000 0.000 0.500
3 Ag 0.000 0.500 0.000
4 Ag 0.500 0.000 0.000
5 Hg 0.500 0.500 0.500

* ΔH_f (0 K): 395 meV per atom
* space group: Pm-3m, No. 221
* ρ: 9.85 g/cm3
* total magnetization: 0.00 μB per formula unit

Entry 16:
# LiAgHg2

A PBEsol-optimized structure of LiAgHg2 (SCAN, Alexandria).

Lattice parameters (Å, degrees): 4.340 4.340 3.906 90.00 90.00 90.00
Element x y z (fractional)
1 Li 0.000 0.000 0.000
2 Ag 0.500 0.500 0.000
3 Hg 0.000 0.500 0.500
4 Hg 0.500 0.000 0.500

* ΔH_f (0 K): -201 meV per atom
* space group: P4/mmm, No. 123
* ρ: 11.64 g/cm3
* total magnetization: 0.00 μB per formula unit

Entry 17:
# Mg4AgHg

A PBEsol-optimized structure of Mg4AgHg (SCAN, Alexandria).

Lattice parameters (Å, degrees): 5.618 5.618 5.618 60.00 60.00 60.00
Element x y z (fractional)
1 Mg 0.125 0.125 0.125
2 Mg 0.125 0.125 0.625
3 Mg 0.125 0.625 0.125
4 Mg 0.625 0.125 0.125
5 Ag 0.500 0.500 0.500
6 Hg 0.750 0.750 0.750

* ΔH_f (0 K): 99 meV per atom
* space group: F-43m, No. 216
* ρ: 5.37 g/cm3
* total magnetization: 0.00 μB per formula unit

Entry 18:
# MgAg2Hg

A PBEsol-optimized structure of MgAg2Hg (SCAN, Alexandria).

Lattice parameters (Å, degrees): 5.607 5.607 2.965 103.08 103.08 118.49
Element x y z (fractional)
1 Mg 0.000 0.000 0.000
2 Ag 0.000 0.500 0.500
3 Ag 0.500 0.000 0.500
4 Hg 0.500 0.500 0.000

* ΔH_f (0 K): -79 meV per atom
* space group: C2/m, No. 12
* ρ: 9.96 g/cm3
* total magnetization: 0.00 μB per formula unit

Entry 19:
# MgAgHg2

A PBEsol-optimized structure of MgAgHg2 (SCAN, Alexandria).

Lattice parameters (Å, degrees): 3.545 3.545 6.208 90.00 90.00 90.00
Element x y z (fractional)
1 Mg 0.000 0.000 0.000
2 Ag 0.000 0.000 0.500
3 Hg 0.500 0.500 0.252
4 Hg 0.500 0.500 0.748

* ΔH_f (0 K): -155 meV per atom
* space group: P4/mmm, No. 123
* ρ: 11.36 g/cm3
* total magnetization: 0.00 μB per formula unit

Entry 20:
# MgAgHg2

A PBEsol-optimized structure of MgAgHg2 (SCAN, Alexandria).

Lattice parameters (Å, degrees): 5.582 5.582 5.582 142.99 130.65 63.26
Element x y z (fractional)
1 Mg 0.000 0.000 0.000
2 Ag 0.241 0.741 0.500
3 Hg 0.488 0.488 0.000
4 Hg 0.748 0.248 0.500

* ΔH_f (0 K): -113 meV per atom
* space group: Imm2, No. 44
* ρ: 11.28 g/cm3
* total magnetization: 0.00 μB per formula unit

Entry 21:
# MgAgHg2

A PBEsol-optimized structure of MgAgHg2 (SCAN, Alexandria).

Lattice parameters (Å, degrees): 3.146 4.764 5.192 90.00 90.00 90.00
Element x y z (fractional)
1 Mg 0.000 0.000 0.000
2 Ag 0.000 0.500 0.661
3 Hg 0.500 0.000 0.507
4 Hg 0.500 0.500 0.150

* ΔH_f (0 K): -147 meV per atom
* space group: Pmm2, No. 25
* ρ: 11.38 g/cm3
* total magnetization: 0.00 μB per formula unit

Entry 22:
# MgAg2Hg

A PBEsol-optimized structure of MgAg2Hg (SCAN, Alexandria).

Lattice parameters (Å, degrees): 3.412 3.412 6.249 90.00 90.00 90.00
Element x y z (fractional)
1 Mg 0.000 0.000 0.000
2 Ag 0.500 0.500 0.238
3 Ag 0.500 0.500 0.762
4 Hg 0.000 0.000 0.500

* ΔH_f (0 K): -126 meV per atom
* space group: P4/mmm, No. 123
* ρ: 10.06 g/cm3
* total magnetization: 0.00 μB per formula unit

Entry 23:
# MgAgHg2

A PBEsol-optimized structure of MgAgHg2 (SCAN, Alexandria).

Lattice parameters (Å, degrees): 5.154 5.154 4.855 102.73 102.73 38.99
Element x y z (fractional)
1 Mg 0.000 0.000 0.000
2 Ag 0.261 0.261 0.749
3 Hg 0.510 0.510 0.519
4 Hg 0.748 0.748 0.232

* ΔH_f (0 K): -132 meV per atom
* space group: Cm, No. 8
* ρ: 11.23 g/cm3
* total magnetization: 0.00 μB per formula unit

Entry 24:
# MgAgHg2

A PBEsol-optimized structure of MgAgHg2 (SCAN, Alexandria).

Lattice parameters (Å, degrees): 9.201 9.201 9.201 20.11 20.11 20.11
Element x y z (fractional)
1 Mg 0.000 0.000 0.000
2 Ag 0.500 0.500 0.500
3 Hg 0.250 0.250 0.250
4 Hg 0.750 0.750 0.750

* ΔH_f (0 K): -89 meV per atom
* space group: R-3m, No. 166
* ρ: 10.99 g/cm3
* total magnetization: 0.00 μB per formula unit

Entry 25:
# MgAg2Hg

A PBEsol-optimized structure of MgAg2Hg (SCAN, Alexandria).

Lattice parameters (Å, degrees): 2.975 4.782 5.188 90.00 94.36 90.00
Element x y z (fractional)
1 Mg 0.000 0.000 0.000
2 Ag 0.269 0.500 0.756
3 Ag 0.731 0.500 0.244
4 Hg 0.500 0.000 0.500

* ΔH_f (0 K): -99 meV per atom
* space group: P2/m, No. 10
* ρ: 9.94 g/cm3
* total magnetization: 0.00 μB per formula unit

Entry 26:
# MgAgHg2

A PBEsol-optimized structure of MgAgHg2 (SCAN, Alexandria).

Lattice parameters (Å, degrees): 3.600 3.600 6.065 90.00 90.00 90.00
Element x y z (fractional)
1 Mg 0.000 0.000 0.000
2 Ag 0.500 0.500 0.237
3 Hg 0.000 0.000 0.478
4 Hg 0.500 0.500 0.757

* ΔH_f (0 K): -140 meV per atom
* space group: P4mm, No. 99
* ρ: 11.27 g/cm3
* total magnetization: 0.00 μB per formula unit

Entry 27:
# MgAgHg2

A PBEsol-optimized structure of MgAgHg2 (SCAN, Alexandria).

Lattice parameters (Å, degrees): 4.794 4.794 4.794 60.00 60.00 60.00
Element x y z (fractional)
1 Mg 0.000 0.000 0.000
2 Ag 0.750 0.750 0.750
3 Hg 0.250 0.250 0.250
4 Hg 0.500 0.500 0.500

* ΔH_f (0 K): -86 meV per atom
* space group: F-43m, No. 216
* ρ: 11.37 g/cm3
* total magnetization: 0.00 μB per formula unit

Entry 28:
# Mg2AgHg

A PBEsol-optimized structure of Mg2AgHg (SCAN, Alexandria).

Lattice parameters (Å, degrees): 5.268 5.268 5.268 133.50 133.50 67.87
Element x y z (fractional)
1 Mg 0.000 0.000 0.000
2 Mg 0.750 0.250 0.500
3 Ag 0.500 0.500 0.000
4 Hg 0.250 0.750 0.500

* ΔH_f (0 K): -247 meV per atom
* space group: I-4m2, No. 119
* ρ: 7.84 g/cm3
* total magnetization: 0.00 μB per formula unit

Entry 29:
# MgAgHg2

A PBEsol-optimized structure of MgAgHg2 (SCAN, Alexandria).

Lattice parameters (Å, degrees): 5.083 5.083 5.083 128.84 128.84 75.26
Element x y z (fractional)
1 Mg 0.000 0.000 0.000
2 Ag 0.500 0.500 0.000
3 Hg 0.250 0.750 0.500
4 Hg 0.750 0.250 0.500

* ΔH_f (0 K): -145 meV per atom
* space group: I4/mmm, No. 139
* ρ: 11.42 g/cm3
* total magnetization: 0.00 μB per formula unit

Entry 30:
# MgAgHg2

A PBEsol-optimized structure of MgAgHg2 (SCAN, Alexandria).

Lattice parameters (Å, degrees): 5.050 5.050 5.090 103.06 103.06 39.30
Element x y z (fractional)
1 Mg 0.000 0.000 0.000
2 Ag 0.500 0.500 0.500
3 Hg 0.250 0.250 0.747
4 Hg 0.750 0.750 0.253

* ΔH_f (0 K): -112 meV per atom
* space group: C2/m, No. 12
* ρ: 11.10 g/cm3
* total magnetization: 0.00 μB per formula unit